DFT (PBE) results for an optimized crystal structure of Ce8Si2Rh3.

```
Ce8Si2Rh3
1.0
8.163 -3.449 0.000
8.163 3.449 0.000
-1.961 0.000 5.982
Ce Si Rh
8 2 3
Direct
0.098 0.098 0.436 Ce
0.174 0.610 0.065 Ce
0.299 0.299 0.419 Ce
0.390 0.826 0.935 Ce
0.610 0.174 0.065 Ce
0.701 0.701 0.581 Ce
0.826 0.390 0.935 Ce
0.902 0.902 0.564 Ce
0.235 0.235 0.850 Si
0.765 0.765 0.150 Si
0.000 0.000 0.000 Rh
0.308 0.692 0.500 Rh
0.692 0.308 0.500 Rh
```



DFT (PBE) results for an optimized crystal structure of Ce6Si2Rh.

```
Ce6Si2Rh
1.0
8.092 0.000 0.000
-4.046 7.008 0.000
0.000 0.000 3.797
Ce Si Rh
6 2 1
Direct
0.000 0.423 0.000 Ce
0.000 0.737 0.500 Ce
0.263 0.263 0.500 Ce
0.423 0.000 0.000 Ce
0.577 0.577 0.000 Ce
0.737 0.000 0.500 Ce
0.333 0.667 0.500 Si
0.667 0.333 0.500 Si
0.000 0.000 0.000 Rh
```



DFT (PBE) results for an optimized crystal structure of Ce3Si2Rh.

```
Ce3Si2Rh
1.0
11.808 0.000 0.000
0.000 4.247 0.000
0.000 0.000 11.108
Ce Si Rh
12 8 4
Direct
0.048 0.250 0.121 Ce
0.123 0.750 0.562 Ce
0.220 0.250 0.797 Ce
0.280 0.750 0.297 Ce
0.377 0.250 0.062 Ce
0.452 0.750 0.621 Ce
0.548 0.250 0.379 Ce
0.623 0.750 0.938 Ce
0.720 0.250 0.703 Ce
0.780 0.750 0.203 Ce
0.877 0.250 0.438 Ce
0.952 0.750 0.879 Ce
0.019 0.750 0.311 Si
0.196 0.750 0.003 Si
0.304 0.250 0.503 Si
0.481 0.250 0.811 Si
0.519 0.750 0.189 Si
0.696 0.750 0.497 Si
0.804 0.250 0.997 Si
0.981 0.250 0.689 Si
0.127 0.250 0.370 Rh
0.373 0.750 0.870 Rh
0.627 0.250 0.130 Rh
0.873 0.750 0.630 Rh
```



no.,ΔE_f (raw) (eV per formula unit)
1,-4.406
2,-4.471
3,-4.395